An optimized crystal structure of SnSN2F. Source: the Alexandria database, functional PBE.

Structure (POSCAR):
```
SnSN2F
1.0
4.184 0.000 0.000
0.000 4.184 0.000
0.000 0.000 4.023
Sn S N F
1 1 2 1
Direct
0.000 0.000 0.000
0.500 0.500 0.500
0.000 0.500 0.000
0.500 0.000 0.000
0.000 0.000 0.500
```

## Properties
The distance to the lowest polymorph of the same formula is 248 meV/atom. The symmetry is P4/mmm. The calculated density is 4.66 g/cm³. The value obtained for the density of states at the Fermi level is 2.95 states/eV/cell. As for the uncorrected formation energy: 0.919 eV/atom.

=====

An optimized crystal structure of SnSN2F. Source: the Alexandria database, functional PBE.

Structure (POSCAR):
```
SnSN2F
1.0
4.665 0.000 0.000
0.000 4.665 0.000
0.000 0.000 3.798
Sn S N F
1 1 2 1
Direct
0.000 0.000 0.000
0.500 0.500 0.000
0.000 0.500 0.500
0.500 0.000 0.500
0.500 0.500 0.500
```

## Properties
The distance to the lowest polymorph of the same formula is 1110 meV/atom. The symmetry is P4/mmm. The calculated density is 3.97 g/cm³. The value obtained for the density of states at the Fermi level is 1.29 states/eV/cell. As for the uncorrected formation energy: 1.781 eV/atom.

=====

An optimized crystal structure of TaSNF2. Source: the Alexandria database, functional PBE.

Structure (POSCAR):
```
TaSNF2
1.0
4.045 0.000 0.000
0.000 4.045 0.000
0.000 0.000 4.119
Ta S N F
1 1 1 2
Direct
0.000 0.000 0.000
0.500 0.500 0.500
0.000 0.000 0.500
0.000 0.500 0.000
0.500 0.000 0.000
```

## Properties
The distance to the lowest polymorph of the same formula is 0 meV/atom. The symmetry is P4/mmm. The calculated density is 6.53 g/cm³. The value obtained for the density of states at the Fermi level is 2.21 states/eV/cell. As for the uncorrected formation energy: -0.894 eV/atom.

=====

An optimized crystal structure of TaS2NF. Source: the Alexandria database, functional PBE.

Structure (POSCAR):
```
TaS2NF
1.0
4.820 0.000 0.000
0.000 4.820 0.000
0.000 0.000 4.018
Ta S N F
1 2 1 1
Direct
0.000 0.000 0.000
0.000 0.500 0.000
0.500 0.000 0.000
0.000 0.000 0.500
0.500 0.500 0.500
```

## Properties
The distance to the lowest polymorph of the same formula is 0 meV/atom. The symmetry is P4/mmm. The calculated density is 4.95 g/cm³. The value obtained for the density of states at the Fermi level is 2.20 states/eV/cell. As for the uncorrected formation energy: -0.013 eV/atom.

=====

An optimized crystal structure of TaS2NF. Source: the Alexandria database, functional PBE.

Structure (POSCAR):
```
TaS2NF
1.0
4.295 0.000 0.000
0.000 4.295 0.000
0.000 0.000 3.656
Ta S N F
1 2 1 1
Direct
0.000 0.000 0.000
0.000 0.500 0.500
0.500 0.000 0.500
0.500 0.500 0.000
0.500 0.500 0.500
```

## Properties
The distance to the lowest polymorph of the same formula is 1260 meV/atom. The symmetry is P4/mmm. The calculated density is 6.85 g/cm³. The value obtained for the density of states at the Fermi level is 3.32 states/eV/cell. As for the uncorrected formation energy: 1.247 eV/atom.

=====

An optimized crystal structure of TaSNF2. Source: the Alexandria database, functional PBE.

Structure (POSCAR):
```
TaSNF2
1.0
4.822 0.000 0.000
0.000 4.822 0.000
0.000 0.000 3.175
Ta S N F
1 1 1 2
Direct
0.000 0.000 0.000
0.500 0.500 0.500
0.500 0.500 0.000
0.000 0.500 0.500
0.500 0.000 0.500
```

## Properties
The distance to the lowest polymorph of the same formula is 1517 meV/atom. The symmetry is P4/mmm. The calculated density is 5.96 g/cm³. The value obtained for the density of states at the Fermi level is 3.51 states/eV/cell. As for the uncorrected formation energy: 0.623 eV/atom.